P.
Pm2PrCu3: optimized geometry, PBE.

```
data_Pm2PrCu3
_cell_length_a 3.573
_cell_length_b 3.573
_cell_length_c 10.811
_cell_angle_alpha 90.00
_cell_angle_beta 90.00
_cell_angle_gamma 90.00
_space_group_name_H-M_alt 'P 4/m m m'
_space_group_IT_number 123
_space_group_name_Hall '-P 4 2'
loop_
_atom_site_label
_atom_site_type_symbol
_atom_site_fract_x
_atom_site_fract_y
_atom_site_fract_z
Pm1 Pm 0.000 0.000 0.165
Pr1 Pr 0.000 0.000 0.500
Cu1 Cu 0.500 0.500 0.000
Cu2 Cu 0.500 0.500 0.326
```

Values from the calculation:
Mass density   7.48 g cm⁻³

***

Q.
Pm2PrCu3: optimized geometry, PBE.

```
data_Pm2PrCu3
_cell_length_a 5.051
_cell_length_b 15.155
_cell_length_c 7.241
_cell_angle_alpha 90.00
_cell_angle_beta 90.00
_cell_angle_gamma 90.00
_space_group_name_H-M_alt 'C m m m'
_space_group_IT_number 65
_space_group_name_Hall '-C 2 2'
loop_
_atom_site_label
_atom_site_type_symbol
_atom_site_fract_x
_atom_site_fract_y
_atom_site_fract_z
Pm1 Pm 0.000 0.000 0.000
Pm2 Pm 0.000 0.000 0.500
Pm3 Pm 0.000 0.333 0.000
Pr1 Pr 0.000 0.334 0.500
Cu1 Cu 0.000 0.165 0.243
Cu2 Cu 0.000 0.500 0.244
```

Values from the calculation:
Mass density   7.45 g cm⁻³

***

What is the most stable structure shown above? It is P.